--- P ---
Cs3TiI6: relaxed, GGA-PBE.

Results
* D(E_F): 55.904 states/eV per cell
* density: 3.76 Mg/m³

CIF file:
```
data_Cs3TiI6
_chemical_formula_sum 'Cs12 Ti4 I24'
_cell_length_a 12.877
_cell_length_b 12.877
_cell_length_c 12.877
_cell_angle_alpha 90.00
_cell_angle_beta 90.00
_cell_angle_gamma 90.00
_space_group_name_H-M_alt 'F m -3 m'
_space_group_IT_number 225
_space_group_name_Hall '-F 4 2 3'
loop_
_atom_site_label
_atom_site_fract_x
_atom_site_fract_y
_atom_site_fract_z
Cs1 0.000 0.000 0.000
Cs2 0.250 0.250 0.250
Ti1 0.000 0.000 0.500
I1 0.000 0.000 0.281
```

=====

--- Q ---
Cs3TiI6: relaxed, GGA-PBE.

Results
* D(E_F): 13.633 states/eV per cell
* density: 3.85 Mg/m³

CIF file:
```
data_Cs3TiI6
_chemical_formula_sum 'Cs6 Ti2 I12'
_cell_length_a 8.825
_cell_length_b 9.289
_cell_length_c 15.347
_cell_angle_alpha 90.00
_cell_angle_beta 124.15
_cell_angle_gamma 90.00
_space_group_name_H-M_alt 'P 1 21/c 1'
_space_group_IT_number 14
loop_
_space_group_symop_operation_xyz
'x,y,z'
'-x,-y,-z'
'-x,y+1/2,-z+1/2'
'x,-y+1/2,z+1/2'
loop_
_atom_site_label
_atom_site_fract_x
_atom_site_fract_y
_atom_site_fract_z
Cs1 0.000 0.000 0.000
Cs2 0.282 0.076 0.756
Ti1 0.500 0.000 0.500
I1 0.190 0.025 0.289
I2 0.287 0.665 0.050
I3 0.396 0.241 0.054
```

=====

Least stable of them? P.

=====

--- P ---
Cs2TiI: relaxed, GGA-PBE.

Results
* D(E_F): 23.349 states/eV per cell
* density: 2.72 Mg/m³

CIF file:
```
data_Cs2TiI
_chemical_formula_sum 'Cs8 Ti4 I4'
_cell_length_a 10.563
_cell_length_b 10.563
_cell_length_c 9.648
_cell_angle_alpha 90.00
_cell_angle_beta 90.00
_cell_angle_gamma 90.00
_space_group_name_H-M_alt 'I -4 2 d'
_space_group_IT_number 122
_space_group_name_Hall 'I -4 2bw'
loop_
_atom_site_label
_atom_site_fract_x
_atom_site_fract_y
_atom_site_fract_z
Cs1 0.220 0.750 0.125
Ti1 0.000 0.000 0.500
I1 0.000 0.000 0.000
```

=====

--- Q ---
Cs2TiI: relaxed, GGA-PBE.

Results
* D(E_F): 0.000 states/eV per cell
* density: 3.32 Mg/m³

CIF file:
```
data_Cs2TiI
_chemical_formula_sum 'Cs8 Ti4 I4'
_cell_length_a 9.587
_cell_length_b 9.587
_cell_length_c 9.587
_cell_angle_alpha 90.00
_cell_angle_beta 90.00
_cell_angle_gamma 90.00
_space_group_name_H-M_alt 'F m -3 m'
_space_group_IT_number 225
_space_group_name_Hall '-F 4 2 3'
loop_
_atom_site_label
_atom_site_fract_x
_atom_site_fract_y
_atom_site_fract_z
Cs1 0.250 0.250 0.250
Ti1 0.000 0.000 0.000
I1 0.000 0.000 0.500
```

=====

Least stable of them? P.

=====

--- P ---
CsTlI2: relaxed, GGA-PBE.

Results
* D(E_F): 0.000 states/eV per cell
* density: 4.71 Mg/m³

CIF file:
```
data_CsTlI2
_chemical_formula_sum 'Cs3 Tl3 I6'
_cell_length_a 5.2752
_cell_length_b 5.2752
_cell_length_c 25.9189
_cell_angle_alpha 90.00
_cell_angle_beta 90.00
_cell_angle_gamma 120.00
_space_group_name_H-M_alt 'R -3 m'
_space_group_IT_number 166
_space_group_name_Hall '-R 3 2"'
loop_
_atom_site_label
_atom_site_fract_x
_atom_site_fract_y
_atom_site_fract_z
Cs1 0.0000 0.0000 0.0000
Tl1 0.0000 0.0000 0.5000
I1 0.0000 0.0000 0.2416
```

=====

--- Q ---
CsTlI2: relaxed, GGA-PBE.

Results
* D(E_F): 0.000 states/eV per cell
* density: 4.58 Mg/m³

CIF file:
```
data_CsTlI2
_chemical_formula_sum 'Cs4 Tl4 I8'
_cell_length_a 9.828
_cell_length_b 10.020
_cell_length_c 9.147
_cell_angle_alpha 90.00
_cell_angle_beta 108.05
_cell_angle_gamma 90.00
_space_group_name_H-M_alt 'P 1 21/c 1'
_space_group_IT_number 14
loop_
_space_group_symop_operation_xyz
'x,y,z'
'-x,-y,-z'
'-x,y+1/2,-z+1/2'
'x,-y+1/2,z+1/2'
loop_
_atom_site_label
_atom_site_fract_x
_atom_site_fract_y
_atom_site_fract_z
Cs1 0.200 0.066 0.307
Tl1 0.328 0.633 0.364
I1 0.080 0.741 0.032
I2 0.454 0.146 0.722
```

=====

--- R ---
CsTlI2: relaxed, GGA-PBE.

Results
* D(E_F): 0.000 states/eV per cell
* density: 3.42 Mg/m³

CIF file:
```
data_CsTlI2
_chemical_formula_sum 'Cs4 Tl4 I8'
_cell_length_a 8.367
_cell_length_b 8.367
_cell_length_c 16.376
_cell_angle_alpha 90.00
_cell_angle_beta 90.00
_cell_angle_gamma 90.00
_space_group_name_H-M_alt 'I -4 2 d'
_space_group_IT_number 122
_space_group_name_Hall 'I -4 2bw'
loop_
_atom_site_label
_atom_site_fract_x
_atom_site_fract_y
_atom_site_fract_z
Cs1 0.000 0.000 0.000
Tl1 0.000 0.000 0.500
I1 0.214 0.250 0.625
```

=====

--- S ---
CsTlI2: relaxed, GGA-PBE.

Results
* D(E_F): 0.000 states/eV per cell
* density: 5.53 Mg/m³

CIF file:
```
data_CsTlI2
_chemical_formula_sum 'Cs1 Tl1 I2'
_cell_length_a 4.452
_cell_length_b 4.452
_cell_length_c 8.961
_cell_angle_alpha 90.00
_cell_angle_beta 90.00
_cell_angle_gamma 90.00
_space_group_name_H-M_alt 'P 4/m m m'
_space_group_IT_number 123
_space_group_name_Hall '-P 4 2'
loop_
_atom_site_label
_atom_site_fract_x
_atom_site_fract_y
_atom_site_fract_z
Cs1 0.000 0.000 0.000
Tl1 0.000 0.000 0.500
I1 0.500 0.500 0.267
```

=====

Least stable of them? R.

=====

--- P ---
CsTlI2: relaxed, GGA-PBE.

Results
* D(E_F): 0.000 states/eV per cell
* density: 4.73 Mg/m³

CIF file:
```
data_CsTlI2
_chemical_formula_sum 'Cs3 Tl3 I6'
_cell_length_a 5.1732
_cell_length_b 5.1732
_cell_length_c 26.8759
_cell_angle_alpha 90.00
_cell_angle_beta 90.00
_cell_angle_gamma 120.00
_space_group_name_H-M_alt 'R 3 m'
_space_group_IT_number 160
_space_group_name_Hall 'R 3 -2"'
loop_
_atom_site_label
_atom_site_fract_x
_atom_site_fract_y
_atom_site_fract_z
Cs1 0.0000 0.0000 0.0000
Tl1 0.0000 0.0000 0.8319
I1 0.0000 0.0000 0.2409
I2 0.0000 0.0000 0.4242
```

=====

--- Q ---
CsTlI2: relaxed, GGA-PBE.

Results
* D(E_F): 0.000 states/eV per cell
* density: 5.50 Mg/m³

CIF file:
```
data_CsTlI2
_chemical_formula_sum 'Cs4 Tl4 I8'
_cell_length_a 8.937
_cell_length_b 8.937
_cell_length_c 8.937
_cell_angle_alpha 90.00
_cell_angle_beta 90.00
_cell_angle_gamma 90.00
_space_group_name_H-M_alt 'F m -3 m'
_space_group_IT_number 225
_space_group_name_Hall '-F 4 2 3'
loop_
_atom_site_label
_atom_site_fract_x
_atom_site_fract_y
_atom_site_fract_z
Cs1 0.000 0.000 0.000
Tl1 0.000 0.000 0.500
I1 0.250 0.250 0.250
```

=====

Least stable of them? Q.